Record 1
PrEu2Ti | PBE | relaxed

Mass density: 6.6 Mg/m³
Final energy: -95.10 eV/cell
ΔE_f: 0.38 eV per atom

a = 3.5173 Å, b = 3.5173 Å, c = 34.9714 Å
α = 90.00°, β = 90.00°, γ = 120.00°
Closest atoms and distances in Å follow each position.
Space group R-3m (No. 166, hexagonal axes)
Unique sites:
Pr (0.0000, 0.0000, 0.0000) (multiplicity 3)  6 Pr 3.52, 6 Eu 3.82
Eu (0.0000, 0.0000, 0.2409) (multiplicity 6)  3 Ti 3.30, 6 Eu 3.52
Ti (0.0000, 0.0000, 0.5000) (multiplicity 3)  6 Eu 3.30, 6 Ti 3.52



Record 2
Cu2SiNi8 | PBE | relaxed

Mass density: 8.0 Mg/m³
Final energy: -117.61 eV/cell
Energy relative to the elements, uncorrected: 1.06 eV/f.u.

a = 6.2298 Å, b = 11.2909 Å, c = 4.1390 Å
α = 90.00°, β = 117.61°, γ = 90.00°
Closest atoms and distances in Å follow each position.
Space group C2/m (No. 12)
Unique sites:
Cu (0.0000, 0.1976, 0.0000) (multiplicity 4)  8 Ni 2.35-2.50
Si (0.0000, 0.5000, 0.5000) (multiplicity 2)  4 Ni 2.20-2.23
Ni (0.0000, 0.3021, 0.5000) (multiplicity 4)  1 Si 2.23, 2 Cu 2.38
Ni (0.1057, 0.0000, 0.3079) (multiplicity 4)  1 Si 2.20, 3 Ni 2.26-2.37
Ni (0.2120, 0.3928, 0.1369) (multiplicity 8)  5 Ni 2.34-2.55, 2 Cu 2.35-2.50



Record 3
Pr2Dy3HoTe6 | PBE | relaxed

Mass density: 7.7 Mg/m³
Final energy: -125.48 eV/cell
Energy relative to the elements, uncorrected: -15.95 eV/f.u.

a = 19.2826 Å, b = 4.3698 Å, c = 8.8951 Å
α = 90.00°, β = 103.58°, γ = 90.00°
Closest atoms and distances in Å follow each position.
Space group C2/m (No. 12)
Unique sites:
Pr (0.1704, 0.0000, 0.3381) (multiplicity 4)  6 Te 3.16-3.28
Dy (0.0000, 0.5000, 0.5000) (multiplicity 2)  6 Te 3.03-3.13
Dy (0.1734, 0.0000, 0.8364) (multiplicity 4)  6 Te 3.05-3.17
Ho (0.0000, 0.5000, 0.0000) (multiplicity 2)  6 Te 3.05-3.11
Te (0.0044, 0.0000, 0.7537) (multiplicity 4)  2 Ho 3.11, 3 Dy 3.13-3.17, 1 Pr 3.28
Te (0.1613, 0.5000, 0.5920) (multiplicity 4)  3 Dy 3.03-3.05, 3 Pr 3.16-3.18
Te (0.1629, 0.5000, 0.0726) (multiplicity 4)  1 Ho 3.05, 3 Dy 3.07, 2 Pr 3.20



Record 4
TlPIr2 | PBE | relaxed

Mass density: 14.3 Mg/m³
Final energy: -99.89 eV/cell
ΔE_f: 0.13 eV per atom

a = 7.0024 Å, b = 7.0024 Å, c = 5.8647 Å
α = 90.00°, β = 90.00°, γ = 90.00°
Closest atoms and distances in Å follow each position.
Space group I-42d (No. 122)
Unique sites:
Tl (0.0000, 0.0000, 0.0000) (multiplicity 4)  2 P 2.93, 8 Ir 3.00-3.05
P (0.0000, 0.0000, 0.5000) (multiplicity 4)  4 Ir 2.23
Ir (0.1673, 0.2500, 0.6250) (multiplicity 8)  2 P 2.23